No. 1
## HoZn11Ge (PBE)

Data for an optimized crystal structure of HoZn11Ge.

```
data_HoZn11Ge
_cell_length_a 5.289
_cell_length_b 12.691
_cell_length_c 6.766
_cell_angle_alpha 90.00
_cell_angle_beta 112.30
_cell_angle_gamma 90.00
_symmetry_space_group_name_H-M 'C 1 2/m 1'
_symmetry_Int_Tables_number 12
_symmetry_space_group_name_Hall '-C 2y'
loop_
_atom_site_label
_atom_site_type_symbol
_atom_site_fract_x
_atom_site_fract_y
_atom_site_fract_z
Ho1 Ho 0.000 0.000 0.000
Zn1 Zn 0.000 0.500 0.500
Zn2 Zn 0.094 0.392 0.210
Zn3 Zn 0.185 0.180 0.352
Zn4 Zn 0.250 0.250 0.000
Ge1 Ge 0.000 0.000 0.500
```

Results
Total DFT energy (no corrections): -1.89 eV per atom
Magnetization: 0.0 μB per formula unit
Calculated volume: 16.16 A^3/atom
Energy relative to the elements: -10 kJ/mol of atoms



No. 2
## Ho3ZnGe3 (PBE)

Data for an optimized crystal structure of Ho3ZnGe3.

```
data_Ho3ZnGe3
_cell_length_a 10.788
_cell_length_b 4.234
_cell_length_c 13.827
_cell_angle_alpha 90.00
_cell_angle_beta 108.96
_cell_angle_gamma 90.00
_symmetry_space_group_name_H-M 'C 1 2/m 1'
_symmetry_Int_Tables_number 12
_symmetry_space_group_name_Hall '-C 2y'
loop_
_atom_site_label
_atom_site_type_symbol
_atom_site_fract_x
_atom_site_fract_y
_atom_site_fract_z
Ho1 Ho 0.020 0.000 0.377
Ho2 Ho 0.103 0.000 0.922
Ho3 Ho 0.239 0.000 0.225
Zn1 Zn 0.230 0.500 0.389
Ge1 Ge 0.018 0.500 0.227
Ge2 Ge 0.120 0.500 0.075
Ge3 Ge 0.137 0.500 0.547
```

Results
Total DFT energy (no corrections): -4.86 eV per atom
Magnetization: 0.0 μB per formula unit
Calculated volume: 21.33 A^3/atom
Energy relative to the elements: -71 kJ/mol of atoms



No. 3
## HoZn3Ge3 (PBE)

Data for an optimized crystal structure of HoZn3Ge3.

```
data_HoZn3Ge3
_cell_length_a 6.832
_cell_length_b 6.832
_cell_length_c 6.832
_cell_angle_alpha 90.00
_cell_angle_beta 90.00
_cell_angle_gamma 90.00
_symmetry_space_group_name_H-M 'P m -3 n'
_symmetry_Int_Tables_number 223
_symmetry_space_group_name_Hall '-P 4n 2 3'
loop_
_atom_site_label
_atom_site_type_symbol
_atom_site_fract_x
_atom_site_fract_y
_atom_site_fract_z
Ho1 Ho 0.000 0.000 0.000
Zn1 Zn 0.000 0.250 0.500
Ge1 Ge 0.000 0.500 0.250
```

Results
Total DFT energy (no corrections): -2.93 eV per atom
Magnetization: 0.0 μB per formula unit
Calculated volume: 22.78 A^3/atom
Energy relative to the elements: 24 kJ/mol of atoms



No. 4
## Ho2ZnGe2 (PBE)

Data for an optimized crystal structure of Ho2ZnGe2.

```
data_Ho2ZnGe2
_cell_length_a 4.131
_cell_length_b 5.867
_cell_length_c 8.721
_cell_angle_alpha 90.00
_cell_angle_beta 90.00
_cell_angle_gamma 90.00
_symmetry_space_group_name_H-M 'I m m m'
_symmetry_Int_Tables_number 71
_symmetry_space_group_name_Hall '-I 2 2'
loop_
_atom_site_label
_atom_site_type_symbol
_atom_site_fract_x
_atom_site_fract_y
_atom_site_fract_z
Ho1 Ho 0.000 0.000 0.210
Zn1 Zn 0.000 0.500 0.000
Ge1 Ge 0.000 0.281 0.500
```

Results
Total DFT energy (no corrections): -4.58 eV per atom
Magnetization: 0.0 μB per formula unit
Calculated volume: 21.14 A^3/atom
Energy relative to the elements: -62 kJ/mol of atoms



No. 5
## Ho2Zn3Ge2 (PBE)

Data for an optimized crystal structure of Ho2Zn3Ge2.

```
data_Ho2Zn3Ge2
_cell_length_a 10.400
_cell_length_b 4.118
_cell_length_c 6.469
_cell_angle_alpha 90.00
_cell_angle_beta 100.05
_cell_angle_gamma 90.00
_symmetry_space_group_name_H-M 'C 1 2/m 1'
_symmetry_Int_Tables_number 12
_symmetry_space_group_name_Hall '-C 2y'
loop_
_atom_site_label
_atom_site_type_symbol
_atom_site_fract_x
_atom_site_fract_y
_atom_site_fract_z
Ho1 Ho 0.121 0.000 0.337
Zn1 Zn 0.000 0.500 0.000
Zn2 Zn 0.208 0.000 0.871
Ge1 Ge 0.095 0.500 0.658
```

Results
Total DFT energy (no corrections): -3.62 eV per atom
Magnetization: 0.0 μB per formula unit
Calculated volume: 19.48 A^3/atom
Energy relative to the elements: -43 kJ/mol of atoms



No. 6
## Ho2ZnGe (PBE)

Data for an optimized crystal structure of Ho2ZnGe.

```
data_Ho2ZnGe
_cell_length_a 4.5407
_cell_length_b 4.5407
_cell_length_c 16.3469
_cell_angle_alpha 90.00
_cell_angle_beta 90.00
_cell_angle_gamma 120.00
_symmetry_space_group_name_H-M 'R -3 m'
_symmetry_Int_Tables_number 166
_symmetry_space_group_name_Hall '-R 3 2"'
loop_
_atom_site_label
_atom_site_type_symbol
_atom_site_fract_x
_atom_site_fract_y
_atom_site_fract_z
Ho1 Ho 0.0000 0.0000 0.2465
Zn1 Zn 0.0000 0.0000 0.0000
Ge1 Ge 0.0000 0.0000 0.5000
```

Results
Total DFT energy (no corrections): -4.22 eV per atom
Magnetization: 0.0 μB per formula unit
Calculated volume: 24.32 A^3/atom
Energy relative to the elements: -44 kJ/mol of atoms



No. 7
## Ho2ZnGe (PBE)

Data for an optimized crystal structure of Ho2ZnGe.

```
data_Ho2ZnGe
_cell_length_a 4.901
_cell_length_b 4.901
_cell_length_c 3.681
_cell_angle_alpha 90.00
_cell_angle_beta 90.00
_cell_angle_gamma 90.00
_symmetry_space_group_name_H-M 'P 4/m m m'
_symmetry_Int_Tables_number 123
_symmetry_space_group_name_Hall '-P 4 2'
loop_
_atom_site_label
_atom_site_type_symbol
_atom_site_fract_x
_atom_site_fract_y
_atom_site_fract_z
Ho1 Ho 0.000 0.500 0.000
Zn1 Zn 0.000 0.000 0.500
Ge1 Ge 0.500 0.500 0.500
```

Results
Total DFT energy (no corrections): -4.30 eV per atom
Magnetization: 0.0 μB per formula unit
Calculated volume: 22.10 A^3/atom
Energy relative to the elements: -52 kJ/mol of atoms



No. 8
## Ho2Zn3Ge (PBE)

Data for an optimized crystal structure of Ho2Zn3Ge.

```
data_Ho2Zn3Ge
_cell_length_a 3.630
_cell_length_b 4.374
_cell_length_c 7.549
_cell_angle_alpha 90.00
_cell_angle_beta 90.00
_cell_angle_gamma 90.00
_symmetry_space_group_name_H-M 'P m m 2'
_symmetry_Int_Tables_number 25
_symmetry_space_group_name_Hall 'P 2 -2'
loop_
_atom_site_label
_atom_site_type_symbol
_atom_site_fract_x
_atom_site_fract_y
_atom_site_fract_z
Ho1 Ho 0.000 0.000 0.000
Ho2 Ho 0.000 0.500 0.486
Zn1 Zn 0.500 0.000 0.668
Zn2 Zn 0.500 0.500 0.151
Zn3 Zn 0.500 0.500 0.821
Ge1 Ge 0.500 0.000 0.331
```

Results
Total DFT energy (no corrections): -3.43 eV per atom
Magnetization: 0.0 μB per formula unit
Calculated volume: 19.98 A^3/atom
Energy relative to the elements: -48 kJ/mol of atoms